No. 1
10
Lattice="-3.688 5.517 -1.071 -4.380 -2.019 4.683 1.707 1.584 2.279" Properties=species:S:1:pos:R:3 comment="TaTi2S2 PBE-GGA relaxed" raw_formation_energy_ev_per_atom=-0.88 pbc="T T T"
S -4.993 0.206 3.596
S -5.984 3.358 2.148
S -3.075 3.292 0.015
S -2.084 0.140 1.464
Ti -2.558 0.312 4.028
Ti -5.266 2.672 4.416
Ti -3.803 4.770 1.863
Ti -1.095 2.410 1.475
Ta 0.000 0.000 0.000
Ta -4.034 1.749 1.806


No. 2
24
Lattice="-5.462 1.247 4.108 2.365 -6.488 -0.760 6.965 1.508 8.803" Properties=species:S:1:pos:R:3 comment="TaTi3S8 PBE-GGA relaxed" raw_formation_energy_ev_per_atom=-1.16 pbc="T T T"
Ta 3.798 0.109 10.892
Ta 2.925 -3.223 4.868
Ti 1.997 -2.218 9.203
Ti 3.553 0.414 7.522
Ti 0.809 1.041 9.585
Ti 2.556 -4.882 1.931
Ti -0.187 -4.255 3.994
Ti 1.369 -1.623 2.312
S -2.287 -3.103 3.776
S 4.341 -1.346 9.115
S 1.288 -0.434 7.719
S 5.812 1.259 7.346
S 2.330 0.505 2.945
S -0.766 -0.529 2.132
S 7.070 -1.969 7.063
S 5.522 -4.588 8.736
S 5.206 -4.273 5.334
S -3.448 0.084 4.149
S -0.326 1.143 5.094
S -1.873 -1.475 6.767
S 0.414 -3.767 1.695
S 2.523 -3.661 7.352
S 0.856 -2.099 4.715
S 4.045 -1.086 5.708


No. 3
9
Lattice="3.341 0.000 0.000 -1.670 2.893 0.000 0.000 0.000 20.622" Properties=species:S:1:pos:R:3 comment="TaTi2S6 PBE-GGA relaxed" raw_formation_energy_ev_per_atom=-1.11 pbc="T T T"
Ta 0.000 1.929 0.000
Ti 1.670 0.964 6.736
Ti 1.670 0.964 13.886
S 1.670 0.964 19.058
S 0.000 1.929 8.244
S 0.000 1.929 15.396
S 0.000 1.929 5.226
S 0.000 1.929 12.378
S 1.670 0.964 1.564


No. 4
5
Lattice="-3.586 -1.757 -2.733 0.748 -4.408 1.852 -3.162 0.950 3.538" Properties=species:S:1:pos:R:3 comment="TaTi3S PBE-GGA relaxed" raw_formation_energy_ev_per_atom=1.12 pbc="T T T"
S -3.000 -2.607 1.328
Ti 0.374 -2.204 0.926
Ti -1.581 0.475 1.769
Ti -1.793 -0.878 -1.367
Ta 0.000 0.000 0.000


No. 5
10
Lattice="-2.491 -1.377 1.153 1.423 -5.684 -3.716 3.858 -1.509 6.535" Properties=species:S:1:pos:R:3 comment="TaTi3S PBE-GGA relaxed" raw_formation_energy_ev_per_atom=-0.54 pbc="T T T"
Ta 0.314 -3.539 2.588
Ta 2.475 -5.031 1.384
Ti -0.511 -4.223 -0.013
Ti 0.052 -1.378 0.511
Ti 0.761 -6.830 -0.377
Ti 3.301 -4.347 3.985
Ti 2.028 -1.740 4.349
Ti 2.738 -7.191 3.462
S 0.888 -4.919 -1.912
S 1.901 -3.651 5.884


No. 6
5
Lattice="-2.540 -3.649 1.596 3.871 -2.707 -0.028 0.936 1.292 4.446" Properties=species:S:1:pos:R:3 comment="Ta3TiS PBE-GGA relaxed" raw_formation_energy_ev_per_atom=1.60 pbc="T T T"
S 1.134 -2.532 3.007
Ti 0.000 0.000 0.000
Ta 1.935 -1.354 -0.014
Ta 0.468 0.646 2.223
Ta -1.270 -1.824 0.798


No. 7
15
Lattice="6.865 0.000 0.000 -3.432 5.961 -0.066 0.000 -3.989 8.233" Properties=species:S:1:pos:R:3 comment="TaTi3Tl3S8 PBE-GGA relaxed" raw_formation_energy_ev_per_atom=-1.02 pbc="T T T"
Ta 0.000 -1.994 4.116
Ti 3.432 -1.994 4.116
Ti 1.716 0.986 4.084
Ti -1.716 0.986 4.084
Tl 0.000 0.000 0.000
Tl -1.716 2.980 -0.033
Tl 1.716 2.980 -0.033
S 0.000 1.961 2.643
S 3.432 0.011 5.524
S 3.432 1.950 2.596
S 0.000 0.022 5.571
S 5.137 -1.010 2.631
S -1.704 2.982 5.536
S 1.728 -1.010 2.631
S 1.704 2.982 5.536


No. 8
5
Lattice="-1.330 -4.227 1.853 2.762 -2.296 -3.256 3.717 0.162 3.038" Properties=species:S:1:pos:R:3 comment="TaTiW2S PBE-GGA relaxed" raw_formation_energy_ev_per_atom=2.05 pbc="T T T"
S 2.574 -3.181 0.817
Ti 1.381 -1.148 -1.628
W 1.859 0.081 1.519
W -0.665 -2.114 0.926
Ta 0.000 0.000 0.000


No. 9
5
Lattice="4.529 0.000 0.000 0.000 5.011 0.000 0.000 0.000 4.529" Properties=species:S:1:pos:R:3 comment="TaTiWS2 PBE-GGA relaxed" raw_formation_energy_ev_per_atom=1.00 pbc="T T T"
S 0.000 0.000 2.265
S 2.265 0.000 0.000
Ti 0.000 2.505 0.000
W 0.000 0.000 0.000
Ta 2.265 2.505 2.265


No. 10
5
Lattice="4.863 0.000 0.000 0.000 4.863 0.000 0.000 0.000 4.863" Properties=species:S:1:pos:R:3 comment="TaTlS3 PBE-GGA relaxed" raw_formation_energy_ev_per_atom=-0.63 pbc="T T T"
Tl 2.431 2.431 2.431
S 0.000 2.431 0.000
S 0.000 0.000 2.431
S 2.431 0.000 0.000
Ta 0.000 0.000 0.000


No. 11
34
Lattice="-5.847 3.915 -4.141 -5.131 -7.342 1.826 -1.565 8.721 10.122" Properties=species:S:1:pos:R:3 comment="Ta2Tl4S11 PBE-GGA relaxed" raw_formation_energy_ev_per_atom=-0.57 pbc="T T T"
Ta -6.806 -3.550 2.181
Ta -5.737 8.844 5.626
Ta -4.502 -1.540 3.748
Ta -8.041 6.834 4.059
Tl -5.240 1.782 6.022
Tl -7.303 3.512 1.784
Tl -8.084 4.309 8.290
Tl -4.459 0.985 -0.483
Tl -2.323 5.602 4.997
Tl -10.220 -0.309 2.810
Tl -3.049 6.948 10.124
Tl -9.495 -1.654 -2.317
S -2.342 2.557 5.915
S -10.201 2.737 1.891
S -7.003 -1.200 3.644
S -5.541 6.494 4.163
S -2.531 -0.301 2.973
S -10.012 5.595 4.834
S -4.448 3.745 8.739
S -8.096 1.549 -0.932
S -5.799 0.387 3.016
S -6.745 4.907 4.791
S -3.314 3.355 2.108
S -9.229 1.939 5.699
S -5.969 10.861 6.725
S -6.574 -5.567 1.081
S -6.719 -1.965 0.323
S -5.824 7.259 7.483
S -7.692 7.672 6.666
S -4.851 -2.378 1.141
S -7.437 9.263 3.850
S -5.106 -3.969 3.957
S -4.153 3.981 0.297
S -8.390 1.312 7.510


No. 12
8
Lattice="-2.773 -3.375 -1.666 -0.304 -1.862 4.277 -8.359 2.193 2.915" Properties=species:S:1:pos:R:3 comment="Ta2TlS PBE-GGA relaxed" raw_formation_energy_ev_per_atom=0.66 pbc="T T T"
Tl 0.000 0.000 0.000
Tl -6.336 -1.900 1.278
S -1.539 -2.618 1.306
S -5.101 -1.144 4.249
Ta -3.520 -1.379 0.427
Ta -2.967 -1.452 2.989
Ta -7.461 -0.548 3.692
Ta -8.925 -2.709 3.946


No. 13
4
Lattice="0.000 3.296 3.296 3.296 0.000 3.296 3.296 3.296 0.000" Properties=species:S:1:pos:R:3 comment="Ta2TlS PBE-GGA relaxed" raw_formation_energy_ev_per_atom=0.46 pbc="T T T"
Tl 3.296 3.296 3.296
S 0.000 0.000 0.000
Ta 1.648 1.648 1.648
Ta 4.943 4.943 4.943


No. 14
12
Lattice="-1.649 0.218 5.946 1.216 -6.623 0.580 7.751 3.028 -1.167" Properties=species:S:1:pos:R:3 comment="TaTl2S3 PBE-GGA relaxed" raw_formation_energy_ev_per_atom=-0.63 pbc="T T T"
Ta -0.604 -4.767 5.901
Ta 0.171 -1.638 0.625
Tl 2.254 -2.690 3.933
Tl 1.648 0.621 3.637
Tl 5.669 -3.998 1.722
Tl 5.063 -0.687 1.426
S -0.432 -1.558 2.799
S -0.001 -4.846 3.727
S 1.619 0.339 0.443
S 5.087 -0.404 4.638
S 2.230 -2.973 0.721
S 5.698 -3.716 4.916


No. 15
14
Lattice="-1.676 -1.160 -2.601 2.984 -8.685 1.950 -6.805 1.584 5.779" Properties=species:S:1:pos:R:3 comment="Ta5TlS8 PBE-GGA relaxed" raw_formation_energy_ev_per_atom=-0.94 pbc="T T T"
Ta -2.523 -4.901 3.812
Ta -2.974 -3.362 1.316
Ta -4.961 0.634 2.915
Ta -0.533 -8.896 2.211
Ta 2.980 -8.684 1.952
Tl -6.151 -3.337 5.453
S -3.258 -1.136 2.607
S -2.238 -7.126 2.521
S -0.811 -4.004 2.308
S -4.687 -4.259 2.820
S 1.154 -7.045 2.397
S -6.653 -1.212 2.729
S -3.890 -6.396 5.359
S -1.607 -1.869 -0.230


No. 16
13
Lattice="-4.965 -3.688 3.778 -3.871 -5.211 -3.223 1.162 -6.951 1.693" Properties=species:S:1:pos:R:3 comment="Ta4TlS8 PBE-GGA relaxed" raw_formation_energy_ev_per_atom=-0.86 pbc="T T T"
Ta -5.611 -7.765 2.996
Ta -4.974 -8.651 -1.079
Ta -2.045 -9.664 1.783
Ta -2.721 -5.619 0.797
Tl -5.756 -11.887 1.686
S -3.501 -3.820 2.232
S -2.933 -4.611 -1.403
S -0.319 -5.514 1.150
S -0.922 -1.905 0.270
S -2.539 -8.042 -0.247
S -3.005 -7.393 2.738
S -5.151 -6.651 0.642
S -4.655 -9.614 1.364


No. 17
20
Lattice="3.525 0.000 0.000 0.000 9.412 0.000 0.000 0.000 14.664" Properties=species:S:1:pos:R:3 comment="TaTlS3 PBE-GGA relaxed" raw_formation_energy_ev_per_atom=-0.79 pbc="T T T"
Ta 0.881 1.498 6.309
Ta 2.644 7.913 8.354
Ta 0.881 6.204 1.023
Ta 2.644 3.207 13.641
Tl 2.644 0.155 2.533
Tl 0.881 9.257 12.130
Tl 2.644 4.861 4.799
Tl 0.881 4.551 9.865
S 0.881 0.215 8.748
S 2.644 9.197 5.915
S 0.881 4.920 13.247
S 2.644 4.491 1.417
S 0.881 2.344 4.214
S 2.644 7.067 10.450
S 0.881 7.050 3.118
S 2.644 2.362 11.545
S 0.881 1.815 14.643
S 2.644 7.597 0.021
S 0.881 6.521 7.352
S 2.644 2.891 7.311


No. 18
8
Lattice="4.014 0.000 0.000 0.000 4.014 0.000 2.007 2.007 11.236" Properties=species:S:1:pos:R:3 comment="TaTl2S PBE-GGA relaxed" raw_formation_energy_ev_per_atom=0.71 pbc="T T T"
Tl 3.023 1.004 2.809
Tl 0.991 3.011 2.809
Tl 3.011 2.998 8.427
Tl 5.018 5.031 8.427
S 2.007 2.007 0.000
S 2.007 4.014 5.618
Ta 0.000 0.000 0.000
Ta 4.014 2.007 5.618


No. 19
10
Lattice="3.489 0.000 0.001 -0.001 8.105 2.885 -0.003 -0.106 8.603" Properties=species:S:1:pos:R:3 comment="TaTlS3 PBE-GGA relaxed" raw_formation_energy_ev_per_atom=-0.74 pbc="T T T"
Ta 1.267 5.967 4.004
Ta 1.266 1.734 6.679
Tl 1.262 5.481 8.470
Tl 3.008 1.195 2.925
S 3.010 2.759 8.063
S 3.010 0.148 5.966
S 3.012 5.026 2.563
S 1.267 0.001 0.480
S 3.011 6.087 5.740
S 1.266 3.076 4.895


No. 20
5
Lattice="4.964 0.000 0.000 0.000 4.964 0.000 0.000 0.000 4.964" Properties=species:S:1:pos:R:3 comment="TaTlS3 PBE-GGA relaxed" raw_formation_energy_ev_per_atom=1.31 pbc="T T T"
Tl 0.000 0.000 0.000
S 0.000 2.482 0.000
S 0.000 0.000 2.482
S 2.482 0.000 0.000
Ta 2.482 2.482 2.482